[1]
# ZrSc4

An optimized crystal structure of ZrSc4 (PBE, Alexandria via LeMat-Bulk).

Geometry as POSCAR:
```
ZrSc4
1.0
-2.4189 -5.8803 -0.2879
-0.2868 -3.0848 -4.9414
6.1779 -5.9310 -1.1247
Zr Sc
2 8
direct
0.7500 0.0000 0.0000
0.2500 0.0000 0.0000
0.8023 0.6051 0.7903
0.3024 0.6050 0.7901
0.8486 0.1974 0.6054
0.3486 0.1974 0.6054
0.6514 0.8026 0.3946
0.1514 0.8026 0.3946
0.6976 0.3950 0.2099
0.1977 0.3949 0.2097
```

Computed properties:
Formation energy in eV/atom: 0.05
Energy above the lowest structure with this stoichiometry in eV per atom: 0.025

=====

[2]
# CdCo2As2

An optimized crystal structure of CdCo2As2 (PBE, Alexandria via LeMat-Bulk).

Geometry as POSCAR:
```
CdCo2As2
1.0
-4.2190 5.7041 -0.4050
-5.2144 -4.0441 -2.6372
-0.9910 -0.5355 2.7806
As Co Cd
4 4 2
direct
0.1501 0.6501 0.5000
0.6501 0.8499 0.5000
0.8499 0.3499 0.5000
0.3499 0.1501 0.5000
0.3680 0.8680 0.0000
0.8680 0.6320 0.0000
0.6320 0.1320 0.0000
0.1320 0.3680 0.0000
0.0000 0.0000 0.0000
0.5000 0.5000 0.0000
```

Computed properties:
Formation energy in eV/atom: 0.10

=====

[3]
# LaMnN3

An optimized crystal structure of LaMnN3 (PBE, Alexandria via LeMat-Bulk).

Geometry as POSCAR:
```
LaMnN3
1.0
3.6884 0.0000 0.0018
0.0000 5.5359 0.0002
1.1145 0.0000 5.9357
N Mn La
6 2 2
direct
0.9731 0.3767 0.0761
0.7972 0.7359 0.6305
0.5336 0.6017 0.7687
0.0991 0.2359 0.5303
0.3628 0.1018 0.3921
0.9232 0.8767 0.0846
0.9985 0.6359 0.8940
0.8978 0.1359 0.2669
0.3643 0.6280 0.3423
0.5320 0.1280 0.8185
```

Computed properties:
Raw formation energy in kJ/mol of formula units: -314

=====

[4]
# Ce5Ge2Se2

An optimized crystal structure of Ce5Ge2Se2 (PBE, Alexandria via LeMat-Bulk).

Geometry as POSCAR:
```
Ce5Ge2Se2
1.0
0.8465 7.3023 2.6832
-5.3113 -1.4464 5.6118
5.8453 1.3545 5.8814
Ce Ge Se
10 4 4
direct
0.0000 0.0000 0.0000
0.5000 0.5000 0.0000
0.4658 0.1696 0.7237
0.8105 0.8304 0.7237
0.3105 0.6696 0.7237
0.9658 0.3304 0.7237
0.5342 0.8304 0.2763
0.1895 0.1696 0.2763
0.6895 0.3304 0.2763
0.0342 0.6696 0.2763
0.1258 0.3739 0.0000
0.8742 0.6261 0.0000
0.3742 0.8739 0.0000
0.6258 0.1261 0.0000
0.2004 0.0000 0.5992
0.7004 0.5000 0.5992
0.7996 0.0000 0.4008
0.2996 0.5000 0.4008
```

Computed properties:
Raw formation energy in kJ/mol of formula units: -961

=====

[5]
# LiMgTe

An optimized crystal structure of LiMgTe (PBE, Alexandria via LeMat-Bulk).

Geometry as POSCAR:
```
LiMgTe
1.0
4.4307 0.0000 0.0000
-2.2154 3.8371 0.0000
0.0000 0.0000 4.3964
Li Mg Te
1 1 1
direct
0.0000 0.0000 0.9177
0.6667 0.3333 0.3552
0.3333 0.6667 0.7271
```

Computed properties:
Raw formation energy in kJ/mol of formula units: -133
Energy above the lowest structure with this stoichiometry in eV per atom: 0.024

=====

[6]
# CsPaTi2O8

An optimized crystal structure of CsPaTi2O8 (PBE, Alexandria via LeMat-Bulk).

Geometry as POSCAR:
```
CsPaTi2O8
1.0
6.0314 0.0000 0.0000
-3.0157 5.2234 0.0000
0.0000 0.0000 8.4746
Cs Pa Ti O
1 1 2 8
direct
0.0000 0.0000 0.5000
0.0000 0.0000 0.0000
0.3333 0.6667 0.7805
0.6667 0.3333 0.2195
0.1656 0.3312 0.8451
0.1656 0.8344 0.8451
0.6688 0.8344 0.8451
0.3312 0.1656 0.1549
0.6667 0.3333 0.4321
0.3333 0.6667 0.5679
0.8344 0.6688 0.1549
0.8344 0.1656 0.1549
```

Computed properties:
Raw formation energy in kJ/mol of formula units: -2995

=====

[7]
# Ac2AlInO6

An optimized crystal structure of Ac2AlInO6 (PBE, Alexandria via LeMat-Bulk).

Geometry as POSCAR:
```
Ac2AlInO6
1.0
-2.0995 -4.4639 2.9736
3.2444 -3.5767 -3.0786
5.9684 0.7349 5.4360
Ac Al In O
4 2 2 12
direct
0.0060 0.9802 0.2510
0.5060 0.5198 0.7510
0.9940 0.0198 0.7490
0.4940 0.4802 0.2490
0.5000 0.0000 0.0000
0.0000 0.5000 0.5000
0.5000 0.0000 0.5000
0.0000 0.5000 0.0000
0.2880 0.7402 0.0389
0.7880 0.7598 0.5389
0.7120 0.2598 0.9611
0.2120 0.2402 0.4611
0.2568 0.7143 0.4627
0.7568 0.7857 0.9627
0.7432 0.2857 0.5373
0.2432 0.2143 0.0373
0.9303 0.5117 0.2648
0.4303 0.9883 0.7648
0.0697 0.4883 0.7352
0.5697 0.0117 0.2352
```

Computed properties:
Raw formation energy in kJ/mol of formula units: -2746

=====

[8]
# Ba3YPb

An optimized crystal structure of Ba3YPb (PBE, Alexandria via LeMat-Bulk).

Geometry as POSCAR:
```
Ba3YPb
1.0
6.7227 0.0000 0.0000
0.0000 6.7227 0.0000
0.0000 0.0000 6.7227
Pb Y Ba
1 1 3
direct
0.0000 0.0000 0.0000
0.5000 0.5000 0.5000
0.0000 0.5000 0.0000
0.0000 0.0000 0.5000
0.5000 0.0000 0.0000
```

Computed properties:
Formation energy in eV/atom: 0.26
Energy above the lowest structure with this stoichiometry in eV per atom: 0.000

=====

[9]
# Na2SnSb3Pt4

An optimized crystal structure of Na2SnSb3Pt4 (PBE, Alexandria via LeMat-Bulk).

Geometry as POSCAR:
```
Na2SnSb3Pt4
1.0
4.6693 0.0000 0.0000
0.0000 4.6693 0.0000
0.0000 0.0000 10.6369
Na Sn Sb Pt
2 1 3 4
direct
0.5000 0.0000 0.2339
0.0000 0.5000 0.7661
0.5000 0.5000 0.5000
0.0000 0.0000 0.5000
0.5000 0.0000 0.8750
0.0000 0.5000 0.1250
0.5000 0.5000 0.0000
0.0000 0.0000 0.0000
0.5000 0.0000 0.6279
0.0000 0.5000 0.3721
```

Computed properties:
Raw formation energy in kJ/mol of formula units: -433

=====

[10]
# SmTm2Pb9

An optimized crystal structure of SmTm2Pb9 (PBE, Alexandria via LeMat-Bulk).

Geometry as POSCAR:
```
SmTm2Pb9
1.0
-2.6541 1.5875 3.7790
0.4219 -4.3723 2.1331
12.1955 4.4446 6.6979
Sm Tm Pb
1 2 9
direct
0.0000 0.0000 0.0000
0.0000 0.0000 0.3333
0.0000 0.0000 0.6667
0.5000 0.5000 0.0000
0.5000 0.5000 0.3350
0.5000 0.5000 0.6650
0.5000 0.0000 0.1699
0.5000 0.0000 0.5000
0.5000 0.0000 0.8301
0.0000 0.5000 0.1699
0.0000 0.5000 0.5000
0.0000 0.5000 0.8301
```

Computed properties:
Formation energy in eV/atom: -0.26

=====

[11]
# Nd12SmTm7

An optimized crystal structure of Nd12SmTm7 (PBE, Alexandria via LeMat-Bulk).

Geometry as POSCAR:
```
Nd12SmTm7
1.0
-5.4854 -5.3440 5.4765
4.7734 -5.7061 -5.7702
6.2228 4.3914 5.5347
Nd Sm Tm
12 1 7
direct
0.7800 0.3275 0.6229
0.6725 0.3771 0.2200
0.4079 0.0530 0.2958
0.9470 0.7042 0.5921
0.3771 0.2200 0.6725
0.7042 0.5921 0.9470
0.2958 0.4079 0.0530
0.6229 0.7800 0.3275
0.0530 0.2958 0.4079
0.5921 0.9470 0.7042
0.3275 0.6229 0.7800
0.2200 0.6725 0.3771
0.0000 0.0000 0.0000
0.1039 0.6807 0.9923
0.3193 0.0077 0.8961
0.0077 0.8961 0.3193
0.5000 0.5000 0.5000
0.9923 0.1039 0.6807
0.6807 0.9923 0.1039
0.8961 0.3193 0.0077
```

Computed properties:
Formation energy in eV/atom: 0.15
Energy above the lowest structure with this stoichiometry in eV per atom: 0.000

=====

[12]
# Ce2ThRh9

An optimized crystal structure of Ce2ThRh9 (PBE, Alexandria via LeMat-Bulk).

Geometry as POSCAR:
```
Ce2ThRh9
1.0
-0.2092 -0.1239 4.0821
-2.9765 -2.7941 -0.2373
8.3780 -8.9385 0.1581
Ce Th Rh
2 1 9
direct
0.0000 0.0000 0.3347
0.0000 0.0000 0.6653
0.0000 0.0000 0.0000
0.5000 0.5000 0.0000
0.5000 0.5000 0.3359
0.5000 0.5000 0.6641
0.5000 0.0000 0.1713
0.5000 0.0000 0.5000
0.5000 0.0000 0.8287
0.0000 0.5000 0.1713
0.0000 0.5000 0.5000
0.0000 0.5000 0.8287
```

Computed properties:
Formation energy in eV/atom: -0.66

=====

[13]
# Mn5SnRh6

An optimized crystal structure of Mn5SnRh6 (PBE, Alexandria via LeMat-Bulk).

Geometry as POSCAR:
```
Mn5SnRh6
1.0
4.1771 0.0176 -1.2190
-0.8427 5.3946 -2.8091
-0.0715 0.4140 7.5272
Mn Rh Sn
5 6 1
direct
0.6670 0.1670 0.3341
0.3327 0.3327 0.6653
0.0000 0.5000 0.0000
0.6673 0.6673 0.3347
0.3330 0.8330 0.6659
0.8303 0.5759 0.6605
0.8302 0.0846 0.6605
0.5000 0.7410 0.0000
0.5000 0.2590 0.0000
0.1698 0.9154 0.3395
0.1697 0.4241 0.3395
0.0000 0.0000 0.0000
```

Computed properties:
Formation energy in eV/atom: -0.27

=====

[14]
# KTe2W

An optimized crystal structure of KTe2W (PBE, Alexandria via LeMat-Bulk).

Geometry as POSCAR:
```
KTe2W
1.0
-1.8662 -2.5567 -0.2857
3.7694 -3.0861 2.9954
-2.6871 1.4200 4.8444
K Te W
1 2 1
direct
0.5000 0.0000 0.5000
0.0000 0.0000 0.0000
0.0000 0.5000 0.5000
0.5000 0.5000 0.0000
```

Computed properties:
Raw formation energy in kJ/mol of formula units: 249
Energy above the lowest structure with this stoichiometry in eV per atom: 0.698

=====

[15]
# PmY2Er3Te6

An optimized crystal structure of PmY2Er3Te6 (PBE, Alexandria via LeMat-Bulk).

Geometry as POSCAR:
```
PmY2Er3Te6
1.0
4.3343 0.0000 0.0000
0.0000 8.7705 0.2688
-2.1672 -2.5737 9.1740
Pm Y Er Te
1 2 3 6
direct
0.5000 0.0000 0.0000
0.8360 0.6721 0.6720
0.1640 0.3279 0.3280
0.5000 0.5000 0.0000
0.8368 0.1678 0.6736
0.1632 0.8322 0.3264
0.3288 0.9186 0.6575
0.6670 0.5847 0.3340
0.6712 0.0814 0.3425
0.9995 0.2586 0.9991
0.0005 0.7414 0.0009
0.3330 0.4153 0.6660
```

Computed properties:
Raw formation energy in kJ/mol of formula units: -1480

=====

[16]
# Pu2Cd2In3

An optimized crystal structure of Pu2Cd2In3 (PBE, Alexandria via LeMat-Bulk).

Geometry as POSCAR:
```
Pu2Cd2In3
1.0
-7.7803 -0.5332 1.9526
4.3233 -4.6616 4.9203
2.4265 7.6306 0.7189
Pu Cd In
4 4 6
direct
0.0000 0.0000 0.5054
0.5000 0.5054 0.5000
0.4946 0.9946 0.9946
0.0054 0.5000 0.0000
0.0000 0.0000 0.8814
0.5000 0.8814 0.5000
0.1186 0.6186 0.6186
0.3814 0.5000 0.0000
0.7563 0.7500 0.0063
0.7437 0.2500 0.4937
0.9937 0.2437 0.2500
0.5063 0.2563 0.7500
0.2500 0.0063 0.2563
0.7500 0.4937 0.2437
```

Computed properties:
Formation energy in eV/atom: 0.14

=====

[17]
# SrLiHgPb2

An optimized crystal structure of SrLiHgPb2 (PBE, Alexandria via LeMat-Bulk).

Geometry as POSCAR:
```
SrLiHgPb2
1.0
-1.3541 -3.7021 -3.4564
4.9887 -0.3570 -1.5721
0.8737 -3.6906 3.6106
Pb Sr Hg Li
2 1 1 1
direct
0.0000 0.5000 0.0000
0.5000 0.0000 0.0000
0.5000 0.5000 0.5000
0.0000 0.0000 0.5000
0.0000 0.0000 0.0000
```

Computed properties:
Formation energy in eV/atom: -0.24
Energy above the lowest structure with this stoichiometry in eV per atom: 0.000

=====

[18]
# Ac2ZnBiPd6

An optimized crystal structure of Ac2ZnBiPd6 (PBE, Alexandria via LeMat-Bulk).

Geometry as POSCAR:
```
Ac2ZnBiPd6
1.0
6.8900 0.4524 1.2624
0.6022 6.6674 1.2035
4.6393 4.2713 6.4219
Ac Zn Bi Pd
2 1 1 6
direct
0.7420 0.2580 0.5222
0.2580 0.7420 0.4777
0.0000 0.0000 0.0000
0.5000 0.5000 0.0000
0.2320 0.2595 0.5158
0.7406 0.7680 0.0072
0.2437 0.7563 0.8289
0.7563 0.2437 0.1711
0.2594 0.2320 0.9928
0.7680 0.7405 0.4842
```

Computed properties:
Formation energy in eV/atom: -0.62

=====

[19]
# Cs3ThPb2S6

An optimized crystal structure of Cs3ThPb2S6 (PBE, Alexandria via LeMat-Bulk).

Geometry as POSCAR:
```
Cs3ThPb2S6
1.0
7.4452 0.0021 0.0053
-3.7190 6.4498 0.0053
-1.2372 -2.1422 8.0682
Cs Th Pb S
3 1 2 6
direct
0.1732 0.8268 0.5000
0.8268 0.1732 0.5000
0.5000 0.5000 0.5000
0.0000 0.0000 0.0000
0.3341 0.6659 0.0000
0.6659 0.3341 0.0000
0.9370 0.6198 0.8104
0.7475 0.7475 0.1923
0.0630 0.3802 0.1896
0.6198 0.9370 0.8104
0.2525 0.2525 0.8077
0.3802 0.0630 0.1896
```

Computed properties:
Raw formation energy in kJ/mol of formula units: -1315

=====

[20]
# ZrTe2IO

An optimized crystal structure of ZrTe2IO (PBE, Alexandria via LeMat-Bulk).

Geometry as POSCAR:
```
ZrTe2IO
1.0
-0.9063 -3.5641 2.6293
2.9902 1.4874 3.0469
-4.2782 3.0771 2.6964
I Te O Zr
1 2 1 1
direct
0.0000 0.0000 0.5000
0.0000 0.5000 0.0000
0.5000 0.0000 0.0000
0.0000 0.0000 0.0000
0.5000 0.5000 0.5000
```

Computed properties:
Raw formation energy in kJ/mol of formula units: 22
Energy above the lowest structure with this stoichiometry in eV per atom: 0.000

=====

We obtain theoretical density values of 3783, 8332, 6464, 7288, 3529, 3655, 8592, 3870, 9382, 11218, 7520, 11658, 9617, 7639, 7507, 8779, 8186, 10107, 5301, 6716 kg/m3 for the records listed above, in that order.